# Na5Li3V8O24

Crystalline Na5Li3V8O24 at its relaxed geometry (PBE+U, the Alexandria database).

Results
For the energy, the calculation gives -539.25 eV/cell. For the size of the total moment, the calculation gives 0.00 μB/f.u.

Cell lengths 10.607, 9.409, 11.914 Å; angles 90.00, 111.16, 90.00 degrees
Space group C2 (No. 5)
Symmetry-distinct sites (fractional):
Na 0.000 0.000 0.000
Na 0.000 0.008 0.500
Na 0.000 0.639 0.500
Na 0.007 0.449 0.247
Li 0.000 0.628 0.000
Li 0.002 0.829 0.755
V 0.207 0.319 0.999
V 0.208 0.133 0.244
V 0.209 0.140 0.750
V 0.214 0.315 0.500
O 0.116 0.825 0.440
O 0.121 0.635 0.194
O 0.122 0.822 0.946
O 0.123 0.626 0.711
O 0.139 0.970 0.219
O 0.141 0.222 0.098
O 0.143 0.483 0.977
O 0.144 0.238 0.850
O 0.144 0.975 0.727
O 0.147 0.222 0.601
O 0.150 0.478 0.469
O 0.155 0.227 0.353